First-principles (GGA+U) data for FeAgNO2 after structural relaxation, as listed in the Alexandria database.

a = 4.0223 Å, b = 4.0223 Å, c = 3.9950 Å
α = 90.00°, β = 90.00°, γ = 90.00°
With the nearest neighbours (Å) after each atom.
Space group P4/mmm (No. 123)
Asymmetric unit:
Fe: 0.0000 0.0000 0.0000  8 O 2.83, 4 N 2.84
Ag: 0.5000 0.5000 0.5000  2 N 2.00, 4 O 2.01
N: 0.5000 0.5000 0.0000  2 Ag 2.00
O: 0.0000 0.5000 0.5000  2 Ag 2.01

calculated density = 5.4 g/cm3
E = -0.156 hartree per atom
crystal system = tetragonal